LiTeBr2 at its PBEsol-relaxed geometry, computed with SCAN.

The crystal system is monoclinic. As for the calculated density: 4.1 g cm⁻³. The value obtained for the total moment is 0.00 μB/cell. Its uncorrected formation energy is -0.578 eV per atom. For the calculated total energy, the calculation gives -161.740 eV for the cell shown. As for the relative energy among the computed polymorphs: 0 meV/atom.

The structure belongs to space group Cm (No. 8); the cell edges are 15.476, 3.836 and 4.109 Å and the angles 90.00°, 104.99° and 90.00°. Symmetry generates all atoms from Li at (0.000, 0.000, 0.000), Te at (0.274, 0.000, 0.774), Br at (0.005, 0.500, 0.498) and Br at (0.242, 0.500, 0.243).

***

LiTe3Br at its PBEsol-relaxed geometry, computed with SCAN.

The crystal system is cubic. As for the calculated density: 6.2 g cm⁻³. The value obtained for the total moment is 0.00 μB/cell. Its uncorrected formation energy is 0.221 eV per atom. For the calculated total energy, the calculation gives -132.499 eV for the cell shown. As for the relative energy among the computed polymorphs: 0 meV/atom.

The structure belongs to space group Pm-3m (No. 221); the cell edges are 5.023, 5.023 and 5.023 Å and the angles 90.00°, 90.00° and 90.00°. Symmetry generates all atoms from Li at (0.000, 0.000, 0.000), Te at (0.000, 0.000, 0.500) and Br at (0.500, 0.500, 0.500).

***

Li3TeBr at its PBEsol-relaxed geometry, computed with SCAN.

The crystal system is cubic. As for the calculated density: 2.8 g cm⁻³. The value obtained for the total moment is 0.00 μB/cell. Its uncorrected formation energy is -1.098 eV per atom. For the calculated total energy, the calculation gives -69.369 eV for the cell shown.

The structure belongs to space group Pm-3m (No. 221); the cell edges are 5.156, 5.156 and 5.156 Å and the angles 90.00°, 90.00° and 90.00°. Symmetry generates all atoms from Li at (0.000, 0.000, 0.500), Te at (0.000, 0.000, 0.000) and Br at (0.500, 0.500, 0.500).

***

LiTeBr2 at its PBEsol-relaxed geometry, computed with SCAN.

The crystal system is tetragonal. As for the calculated density: 4.7 g cm⁻³. The value obtained for the total moment is 0.00 μB/cell. Its uncorrected formation energy is -0.514 eV per atom. For the calculated total energy, the calculation gives -80.615 eV for the cell shown. As for the relative energy among the computed polymorphs: 64 meV/atom.

The structure belongs to space group P4/mmm (No. 123); the cell edges are 3.090, 3.090 and 10.933 Å and the angles 90.00°, 90.00° and 90.00°. Symmetry generates all atoms from Li at (0.000, 0.000, 0.000), Te at (0.000, 0.000, 0.500) and Br at (0.500, 0.500, 0.161).

***

Li2TeBr at its PBEsol-relaxed geometry, computed with SCAN.

The crystal system is tetragonal. As for the calculated density: 4.2 g cm⁻³. The value obtained for the total moment is 0.00 μB/cell. Its uncorrected formation energy is -1.025 eV per atom. For the calculated total energy, the calculation gives -65.592 eV for the cell shown. As for the relative energy among the computed polymorphs: 142 meV/atom.

The structure belongs to space group P4/mmm (No. 123); the cell edges are 3.388, 3.388 and 7.538 Å and the angles 90.00°, 90.00° and 90.00°. Symmetry generates all atoms from Li at (0.000, 0.000, 0.223), Te at (0.500, 0.500, 0.500) and Br at (0.500, 0.500, 0.000).

***

LiTeBr2 at its PBEsol-relaxed geometry, computed with SCAN.

The crystal system is tetragonal. As for the calculated density: 5.4 g cm⁻³. The value obtained for the total moment is 0.41 μB/cell. Its uncorrected formation energy is -0.453 eV per atom. For the calculated total energy, the calculation gives -80.370 eV for the cell shown. As for the relative energy among the computed polymorphs: 125 meV/atom.

The structure belongs to space group P4/mmm (No. 123); the cell edges are 3.353, 3.353 and 8.078 Å and the angles 90.00°, 90.00° and 90.00°. Symmetry generates all atoms from Li at (0.000, 0.000, 0.000), Te at (0.000, 0.000, 0.500) and Br at (0.500, 0.500, 0.200).

***

LiTiZnBr2 at its PBEsol-relaxed geometry, computed with SCAN.

The crystal system is tetragonal. As for the calculated density: 3.6 g cm⁻³. The value obtained for the total moment is 2.11 μB/cell. Its uncorrected formation energy is -0.334 eV per atom. For the calculated total energy, the calculation gives -72.526 eV for the cell shown.

The structure belongs to space group P4/mmm (No. 123); the cell edges are 5.033, 5.033 and 5.151 Å and the angles 90.00°, 90.00° and 90.00°. Symmetry generates all atoms from Li at (0.000, 0.000, 0.000), Ti at (0.500, 0.500, 0.500), Zn at (0.500, 0.500, 0.000) and Br at (0.000, 0.500, 0.500).

***

LiTlBr2 at its PBEsol-relaxed geometry, computed with SCAN.

The crystal system is trigonal. As for the calculated density: 5.8 g cm⁻³. The value obtained for the total moment is 0.00 μB/cell. Its uncorrected formation energy is -1.263 eV per atom. For the calculated total energy, the calculation gives -356.161 eV for the cell shown. As for the relative energy among the computed polymorphs: 4 meV/atom.

The structure belongs to space group R-3m (No. 166, hexagonal axes); the cell edges are 4.0900, 4.0900 and 22.0941 Å and the angles 90.00°, 90.00° and 120.00°. Symmetry generates all atoms from Li at (0.0000, 0.0000, 0.0000), Tl at (0.0000, 0.0000, 0.5000) and Br at (0.0000, 0.0000, 0.2673).